A geometry-optimized TcPt2C structure. Source: Alexandria, functional PBE.

Lattice parameters (Å, degrees): 6.6558 6.6558 5.3136 51.22 51.22 90.00
Positions (direct):
C: 0.5000 0.5000 0.0000
C: 0.2500 0.7500 0.5000
Tc: 0.0000 0.0000 0.0000
Tc: 0.7500 0.2500 0.5000
Pt: 0.5352 0.1250 0.2500
Pt: 0.2148 0.6250 0.2500
Pt: 0.3750 0.4648 0.7500
Pt: 0.8750 0.7852 0.7500

Calculated total energy: -7.253 eV/atom
Formation enthalpy at 0 K: 0.67 eV per atom

---

A geometry-optimized ZrAsPt2 structure. Source: Alexandria, functional PBE.

Lattice parameters (Å, degrees): 4.0067 3.1056 5.8000 74.42 90.00 90.00
Positions (direct):
As: 0.5000 0.9423 0.7396
Zr: 0.0000 0.5581 0.5096
Pt: 0.0000 0.8137 0.9974
Pt: 0.5000 0.1859 0.2534

Calculated total energy: -6.991 eV/atom
Formation enthalpy at 0 K: -0.67 eV per atom

---

A geometry-optimized ZrTe2IrI structure. Source: Alexandria, functional PBE.

Lattice parameters (Å, degrees): 5.5773 5.5773 5.6365 90.00 90.00 90.00
Positions (direct):
I: 0.0000 0.0000 0.5000
Ir: 0.5000 0.5000 0.5000
Te: 0.0000 0.5000 0.0000
Te: 0.5000 0.0000 0.0000
Zr: 0.0000 0.0000 0.0000

Energy relative to the elements, uncorrected: 4.50 eV per formula unit
Calculated total energy: -4.148 eV/atom

---

A geometry-optimized Ho4Cd3Cu structure. Source: Alexandria, functional PBE.

Lattice parameters (Å, degrees): 3.6078 3.6078 15.1081 90.00 90.00 90.00
Positions (direct):
Ho: 0.0000 0.0000 0.8908
Ho: 0.0000 0.0000 0.1092
Ho: 0.0000 0.0000 0.3703
Ho: 0.0000 0.0000 0.6297
Cu: 0.5000 0.5000 0.0000
Cd: 0.5000 0.5000 0.2419
Cd: 0.5000 0.5000 0.5000
Cd: 0.5000 0.5000 0.7581

Calculated total energy: -3.436 eV/atom
Formation enthalpy at 0 K: -0.29 eV per atom

---

A geometry-optimized ZrSc2Hg structure. Source: Alexandria, functional PBE.

Lattice parameters (Å, degrees): 11.0897 11.0897 11.0897 16.94 16.94 16.94
Positions (direct):
Sc: 0.9090 0.9090 0.9090
Sc: 0.0910 0.0910 0.0910
Hg: 0.0000 0.0000 0.0000
Zr: 0.5000 0.5000 0.5000

Calculated total energy: -5.278 eV/atom
Formation enthalpy at 0 K: 0.10 eV per atom

---

A geometry-optimized Ca2ZrPt structure. Source: Alexandria, functional PBE.

Lattice parameters (Å, degrees): 9.5779 9.5779 7.2834 48.89 48.89 90.00
Positions (direct):
Ca: 0.7334 0.1250 0.2500
Ca: 0.0166 0.6250 0.2500
Ca: 0.3750 0.2666 0.7500
Ca: 0.8750 0.9834 0.7500
Zr: 0.5000 0.5000 0.0000
Zr: 0.2500 0.7500 0.5000
Pt: 0.0000 0.0000 0.0000
Pt: 0.7500 0.2500 0.5000

Calculated total energy: -4.689 eV/atom
Formation enthalpy at 0 K: -0.04 eV per atom

---

Question: Which formula does entry 2 have?
Answer: ZrAsPt2

---

Question: What is the calculated total energy in the third record?
Answer: -4.148 eV/atom

---

Please write out number 6 again, unchanged.
A geometry-optimized Ca2ZrPt structure. Source: Alexandria, functional PBE.

Lattice parameters (Å, degrees): 9.5779 9.5779 7.2834 48.89 48.89 90.00
Positions (direct):
Ca: 0.7334 0.1250 0.2500
Ca: 0.0166 0.6250 0.2500
Ca: 0.3750 0.2666 0.7500
Ca: 0.8750 0.9834 0.7500
Zr: 0.5000 0.5000 0.0000
Zr: 0.2500 0.7500 0.5000
Pt: 0.0000 0.0000 0.0000
Pt: 0.7500 0.2500 0.5000

Calculated total energy: -4.689 eV/atom
Formation enthalpy at 0 K: -0.04 eV per atom

---

Question: Among the records above, which one has the lowest calculated total energy?
Answer: TcPt2C